VASP calculation (GGA-PBE) on crystalline MgTcIr at its relaxed geometry.

Lattice parameters (Å, degrees): 2.8131 3.8360 8.4589 90.00 90.00 90.00
Space group Imm2 (No. 44)
Asymmetric unit:
Mg 0.0000 0.0000 0.0000 [2 per cell]
Tc 0.0000 0.0000 0.6793 [2 per cell]
Ir 0.0000 0.0000 0.3269 [2 per cell]

Output
Density: 11.4 g/cm³
Total magnetic moment: 0.00 μB per cell
Formation enthalpy at 0 K: -0.031 eV per atom

=====

VASP calculation (GGA-PBE) on crystalline Li3Np2SnSe6 at its relaxed geometry.

Lattice parameters (Å, degrees): 17.5145 4.1160 8.0943 90.00 100.01 90.00
Space group C2/m (No. 12)
Asymmetric unit:
Li 0.0000 0.0000 0.0000 [2 per cell]
Li 0.1635 0.5000 0.3302 [4 per cell]
Np 0.1654 0.5000 0.8338 [4 per cell]
Sn 0.0000 0.0000 0.5000 [2 per cell]
Se 0.0024 0.5000 0.7678 [4 per cell]
Se 0.1678 0.0000 0.0843 [4 per cell]
Se 0.1723 0.0000 0.5907 [4 per cell]

Output
Density: 6.3 g/cm³
Formation energy without anion corrections: -1.0539 eV per atom
Total magnetic moment: 14.02 μB per cell

=====

VASP calculation (GGA-PBE) on crystalline VAsRuBr2 at its relaxed geometry.

Lattice parameters (Å, degrees): 5.1778 5.1778 4.6391 90.00 90.00 90.00
Space group P4/mmm (No. 123)
Asymmetric unit:
V 0.0000 0.0000 0.0000 [1 per cell]
As 0.5000 0.5000 0.0000 [1 per cell]
Ru 0.5000 0.5000 0.5000 [1 per cell]
Br 0.0000 0.5000 0.5000 [2 per cell]

Output
Density: 5.2 g/cm³
Formation energy without anion corrections: 0.9467 eV per atom
Total magnetic moment: 0.15 μB per cell

=====

Number 1: raw total energy -41.83 eV/cell. Number 2: raw total energy -138.36 eV/cell. Number 3: raw total energy -21.66 eV/cell.